The following is a SCAN calculation of a PBEsol-optimized structure of Li2CoRh, from Alexandria via LeMat-Bulk.

The structure in POSCAR format:
```
Li2CoRh
1.0
0.000 2.874 2.874
2.874 0.000 2.874
2.874 2.874 0.000
Li Co Rh
2 1 1
direct
0.000 0.000 0.000
0.250 0.250 0.250
0.750 0.750 0.750
0.500 0.500 0.500
```

- E_form: -56.4 meV per atom
- Crystal system: cubic
- Energy above the lowest structure with this stoichiometry: 33.7 meV/atom
- Total magnetic moment: 2.42 μB per formula unit
- Space group: F-43m (216)